(1)
The following is a DFT calculation (GGA-PBE) of a geometry-optimized TmCoB structure.

Unit cell a=3.516 b=3.516 c=7.836 alpha=90.00 beta=90.00 gamma=120.00
Fractional positions:
B: 0.833 0.167 0.413
B: 0.167 0.833 0.913
Tm: 0.500 0.500 0.663
Tm: 0.500 0.500 0.163
Co: 0.834 0.166 0.913
Co: 0.166 0.834 0.413

## Properties
**ΔE_f**: -408 meV/atom
**Mass density**: 9.45 g/cm3
**Excess energy over the best structure of this formula in the dataset**: 98.6 meV/atom
**Volume**: 84 Å³ per cell

=====

(2)
The following is a DFT calculation (GGA-PBE) of a geometry-optimized Tm4CoB13 structure.

Unit cell a=7.251 b=7.251 c=6.809 alpha=90.00 beta=90.00 gamma=90.00
Fractional positions:
Tm: 0.685 0.182 0.500
Tm: 0.315 0.818 0.500
Tm: 0.185 0.318 0.000
Tm: 0.815 0.682 0.000
Tm: 0.818 0.685 0.500
Tm: 0.182 0.315 0.500
Tm: 0.682 0.185 0.000
Tm: 0.318 0.815 0.000
Co: 0.500 0.500 0.500
Co: 0.000 0.000 0.000
B: 0.500 0.500 0.000
B: 0.000 0.000 0.500
B: 0.910 0.410 0.250
B: 0.090 0.590 0.250
B: 0.410 0.090 0.750
B: 0.590 0.910 0.750
B: 0.590 0.910 0.250
B: 0.410 0.090 0.250
B: 0.910 0.410 0.750
B: 0.090 0.590 0.750
B: 0.539 0.671 0.246
B: 0.461 0.329 0.246
B: 0.039 0.829 0.746
B: 0.961 0.171 0.746
B: 0.329 0.539 0.246
B: 0.671 0.461 0.246
B: 0.171 0.039 0.746
B: 0.829 0.961 0.746
B: 0.461 0.329 0.754
B: 0.539 0.671 0.754
B: 0.961 0.171 0.254
B: 0.039 0.829 0.254
B: 0.671 0.461 0.754
B: 0.329 0.539 0.754
B: 0.829 0.961 0.254
B: 0.171 0.039 0.254

## Properties
**ΔE_f**: -517 meV/atom
**Mass density**: 8.12 g/cm3
**Volume**: 358 Å³ per cell

=====

(3)
The following is a DFT calculation (GGA-PBE) of a geometry-optimized Tm2Co2B structure.

Unit cell a=5.464 b=5.464 c=6.453 alpha=81.56 beta=81.56 gamma=55.60
Fractional positions:
Tm: 0.469 0.236 0.151
Tm: 0.764 0.531 0.349
Tm: 0.531 0.764 0.849
Tm: 0.236 0.469 0.651
Co: 0.778 0.990 0.512
Co: 0.010 0.222 0.988
Co: 0.222 0.010 0.488
Co: 0.990 0.778 0.012
B: 0.082 0.918 0.250
B: 0.918 0.082 0.750

## Properties
**ΔE_f**: -274 meV/atom
**Mass density**: 9.88 g/cm3
**Volume**: 157 Å³ per cell

=====

(4)
The following is a DFT calculation (GGA-PBE) of a geometry-optimized TmCoB2 structure.

Unit cell a=5.174 b=5.740 c=6.005 alpha=90.00 beta=90.00 gamma=90.00
Fractional positions:
Tm: 0.750 0.996 0.343
Tm: 0.750 0.496 0.157
Tm: 0.250 0.004 0.657
Tm: 0.250 0.504 0.843
Co: 0.750 0.819 0.825
Co: 0.750 0.319 0.675
Co: 0.250 0.181 0.175
Co: 0.250 0.681 0.325
B: 0.914 0.629 0.542
B: 0.586 0.129 0.958
B: 0.414 0.371 0.458
B: 0.086 0.871 0.042
B: 0.086 0.371 0.458
B: 0.414 0.871 0.042
B: 0.586 0.629 0.542
B: 0.914 0.129 0.958

## Properties
**ΔE_f**: -582 meV/atom
**Mass density**: 9.29 g/cm3
**Excess energy over the best structure of this formula in the dataset**: 0.0 meV/atom
**Volume**: 178 Å³ per cell